VASP calculation (PBE) on crystalline Dy2Be3GaCu12 at its relaxed geometry.

a b c (Å): 7.2588 7.2588 7.2588
angles (deg): 62.25 62.25 62.25
Closest atoms and distances in Å follow each position.
Sites, in units of the cell vectors:
Cu1 0.6623 0.1020 0.6623  2 Be 2.09
Cu2 0.8693 0.8693 0.3954  1 Be 2.13
Cu3 0.8980 0.3377 0.3377  2 Be 2.09
Cu4 0.3377 0.8980 0.3377  2 Be 2.09
Cu5 0.6046 0.1307 0.1307  1 Be 2.13
Cu6 0.1020 0.6623 0.6623  2 Be 2.09
Cu7 0.3954 0.8693 0.8693  1 Be 2.13
Cu8 0.1307 0.1307 0.6046  1 Be 2.13
Cu9 0.8693 0.3954 0.8693  1 Be 2.13
Cu10 0.3377 0.3377 0.8980  2 Be 2.09
Cu11 0.1307 0.6046 0.1307  1 Be 2.13
Cu12 0.6623 0.6623 0.1020  2 Be 2.09
Dy1 0.6008 0.6008 0.6008  6 Cu 2.77-2.82
Dy2 0.3992 0.3992 0.3992  6 Cu 2.77-2.82
Be1 0.0000 0.0000 0.5000  6 Cu 2.09-2.13
Be2 0.5000 0.0000 0.0000  6 Cu 2.09-2.13
Be3 0.0000 0.5000 0.0000  6 Cu 2.09-2.13
Ga1 0.0000 0.0000 0.0000  6 Cu 2.41

## Properties
DFT formation energy (eV/atom): 0.29
VASP energy (eV per atom): -3.74
Space group: R-3m (166)
Fermi-level density of states (states/eV per cell): 5.9
Total magnetic moment (μB/cell): 0.00